A geometry-optimized Th2Zn10Cd structure, computed with PBE.

The structure in CIF format:
```
data_Th2Zn10Cd
_chemical_formula_sum 'Th4 Zn20 Cd2'
_space_group_name_H-M_alt 'P b a m'
_space_group_IT_number 55
_cell_length_a 6.206
_cell_length_b 16.160
_cell_length_c 5.526
_cell_angle_alpha 90.00
_cell_angle_beta 90.00
_cell_angle_gamma 90.00
loop_
_space_group_symop_operation_xyz
'x,y,z'
'-x,-y,-z'
'-x,-y,z'
'x,y,-z'
'x+1/2,-y+1/2,-z'
'-x+1/2,y+1/2,z'
'-x+1/2,y+1/2,-z'
'x+1/2,-y+1/2,z'
loop_
_atom_site_label
_atom_site_type_symbol
_atom_site_fract_x
_atom_site_fract_y
_atom_site_fract_z
_atom_site_occupancy
Th1 Th 0.222 0.047 0.000 1
Zn1 Zn 0.037 0.776 0.500 1
Zn2 Zn 0.072 0.931 0.500 1
Zn3 Zn 0.146 0.358 0.225 1
Zn4 Zn 0.205 0.642 0.500 1
Cd1 Cd 0.000 0.500 0.500 1
```

Properties
ΔE_f = 0.081 eV/atom
magnetization = 0.00 μB per cell
DFT total energy = -0.078 hartree per atom

---

A geometry-optimized DyTmSc6 structure, computed with PBE.

The structure in CIF format:
```
data_DyTmSc6
_chemical_formula_sum 'Dy1 Tm1 Sc6'
_space_group_name_H-M_alt 'P -6 m 2'
_space_group_IT_number 187
_space_group_name_Hall 'P -6 2'
_cell_length_a 6.7616
_cell_length_b 6.7616
_cell_length_c 5.2801
_cell_angle_alpha 90.00
_cell_angle_beta 90.00
_cell_angle_gamma 120.00
loop_
_atom_site_label
_atom_site_type_symbol
_atom_site_fract_x
_atom_site_fract_y
_atom_site_fract_z
_atom_site_occupancy
Dy1 Dy 0.0000 0.0000 0.0000 1
Tm1 Tm 0.6667 0.3333 0.5000 1
Sc1 Sc 0.0059 0.5030 0.0000 1
Sc2 Sc 0.1698 0.3396 0.5000 1
```

Properties
ΔE_f = 0.015 eV/atom
magnetization = 2.08 μB per cell
DFT total energy = -0.216 hartree per atom
energy relative to the lowest polymorph listed for this composition = 0 meV/atom

---

A geometry-optimized Li2LaZr structure, computed with PBE.

The structure in CIF format:
```
data_Li2LaZr
_chemical_formula_sum 'Li4 La2 Zr2'
_space_group_name_H-M_alt 'C m m 2'
_space_group_IT_number 35
_cell_length_a 3.421
_cell_length_b 5.378
_cell_length_c 10.856
_cell_angle_alpha 90.00
_cell_angle_beta 90.00
_cell_angle_gamma 90.00
loop_
_space_group_symop_operation_xyz
'x,y,z'
'-x,-y,z'
'-x,y,z'
'x,-y,z'
'x+1/2,y+1/2,z'
'-x+1/2,-y+1/2,z'
'-x+1/2,y+1/2,z'
'x+1/2,-y+1/2,z'
loop_
_atom_site_label
_atom_site_type_symbol
_atom_site_fract_x
_atom_site_fract_y
_atom_site_fract_z
_atom_site_occupancy
Li1 Li 0.000 0.000 0.000 1
Li2 Li 0.000 0.500 0.225 1
La1 La 0.000 0.500 0.727 1
Zr1 Zr 0.000 0.000 0.462 1
```

Properties
ΔE_f = 0.202 eV/atom
magnetization = 0.00 μB per cell
DFT total energy = -0.152 hartree per atom
energy relative to the lowest polymorph listed for this composition = 48 meV/atom

---

A geometry-optimized Dy2HoTi structure, computed with PBE.

The structure in CIF format:
```
data_Dy2HoTi
_chemical_formula_sum 'Dy6 Ho3 Ti3'
_space_group_name_H-M_alt 'R -3 m'
_space_group_IT_number 166
_space_group_name_Hall '-R 3 2"'
_cell_length_a 3.3482
_cell_length_b 3.3482
_cell_length_c 35.0236
_cell_angle_alpha 90.00
_cell_angle_beta 90.00
_cell_angle_gamma 120.00
loop_
_atom_site_label
_atom_site_type_symbol
_atom_site_fract_x
_atom_site_fract_y
_atom_site_fract_z
_atom_site_occupancy
Dy1 Dy 0.0000 0.0000 0.0840 1
Ho1 Ho 0.0000 0.0000 0.5000 1
Ti1 Ti 0.0000 0.0000 0.0000 1
```

Properties
ΔE_f = 0.418 eV/atom
magnetization = 5.55 μB per cell
DFT total energy = -0.184 hartree per atom
energy relative to the lowest polymorph listed for this composition = 255 meV/atom

---

A geometry-optimized ThMgCoPt structure, computed with PBE.

The structure in CIF format:
```
data_ThMgCoPt
_chemical_formula_sum 'Th4 Mg4 Co4 Pt4'
_space_group_name_H-M_alt 'F -4 3 m'
_space_group_IT_number 216
_space_group_name_Hall 'F -4 2 3'
_cell_length_a 6.788
_cell_length_b 6.788
_cell_length_c 6.788
_cell_angle_alpha 90.00
_cell_angle_beta 90.00
_cell_angle_gamma 90.00
loop_
_atom_site_label
_atom_site_type_symbol
_atom_site_fract_x
_atom_site_fract_y
_atom_site_fract_z
_atom_site_occupancy
Th1 Th 0.000 0.000 0.000 1
Mg1 Mg 0.000 0.000 0.500 1
Co1 Co 0.250 0.250 0.750 1
Pt1 Pt 0.250 0.250 0.250 1
```

Properties
ΔE_f = -0.486 eV/atom
magnetization = 2.35 μB per cell
DFT total energy = -0.221 hartree per atom

---

A geometry-optimized MnCrFe2 structure, computed with PBE.

The structure in CIF format:
```
data_MnCrFe2
_chemical_formula_sum 'Mn2 Cr2 Fe4'
_space_group_name_H-M_alt 'C 1 2/m 1'
_space_group_IT_number 12
_cell_length_a 4.856
_cell_length_b 8.058
_cell_length_c 2.450
_cell_angle_alpha 90.00
_cell_angle_beta 108.31
_cell_angle_gamma 90.00
loop_
_space_group_symop_operation_xyz
'x,y,z'
'-x,-y,-z'
'-x,y,-z'
'x,-y,z'
'x+1/2,y+1/2,z'
'-x+1/2,-y+1/2,-z'
'-x+1/2,y+1/2,-z'
'x+1/2,-y+1/2,z'
loop_
_atom_site_label
_atom_site_type_symbol
_atom_site_fract_x
_atom_site_fract_y
_atom_site_fract_z
_atom_site_occupancy
Mn1 Mn 0.000 0.000 0.000 1
Cr1 Cr 0.000 0.500 0.000 1
Fe1 Fe 0.250 0.250 0.500 1
```

Properties
ΔE_f = 0.087 eV/atom
magnetization = 10.15 μB per cell
DFT total energy = -0.325 hartree per atom

---

A geometry-optimized VHSe2 structure, computed with PBE.

The structure in CIF format:
```
data_VHSe2
_chemical_formula_sum 'V4 H4 Se8'
_space_group_name_H-M_alt 'F m -3 m'
_space_group_IT_number 225
_space_group_name_Hall '-F 4 2 3'
_cell_length_a 6.149
_cell_length_b 6.149
_cell_length_c 6.149
_cell_angle_alpha 90.00
_cell_angle_beta 90.00
_cell_angle_gamma 90.00
loop_
_atom_site_label
_atom_site_type_symbol
_atom_site_fract_x
_atom_site_fract_y
_atom_site_fract_z
_atom_site_occupancy
V1 V 0.000 0.000 0.000 1
H1 H 0.000 0.000 0.500 1
Se1 Se 0.250 0.250 0.250 1
```

Properties
magnetization = 5.16 μB per cell
DFT total energy = -0.169 hartree per atom
energy relative to the lowest polymorph listed for this composition = 797 meV/atom

---

A geometry-optimized TbCeBi structure, computed with PBE.

The structure in CIF format:
```
data_TbCeBi
_chemical_formula_sum 'Tb4 Ce4 Bi4'
_space_group_name_H-M_alt 'P 42/m m c'
_space_group_IT_number 131
_space_group_name_Hall '-P 4c 2'
_cell_length_a 8.019
_cell_length_b 8.019
_cell_length_c 6.282
_cell_angle_alpha 90.00
_cell_angle_beta 90.00
_cell_angle_gamma 90.00
loop_
_atom_site_label
_atom_site_type_symbol
_atom_site_fract_x
_atom_site_fract_y
_atom_site_fract_z
_atom_site_occupancy
Tb1 Tb 0.000 0.211 0.000 1
Ce1 Ce 0.180 0.500 0.500 1
Bi1 Bi 0.260 0.500 0.000 1
```

Properties
ΔE_f = -0.240 eV/atom
magnetization = 4.02 μB per cell
DFT total energy = -0.186 hartree per atom

---

A geometry-optimized AcEu2Tl structure, computed with PBE.

The structure in CIF format:
```
data_AcEu2Tl
_chemical_formula_sum 'Ac4 Eu8 Tl4'
_space_group_name_H-M_alt 'F m -3 m'
_space_group_IT_number 225
_space_group_name_Hall '-F 4 2 3'
_cell_length_a 8.259
_cell_length_b 8.259
_cell_length_c 8.259
_cell_angle_alpha 90.00
_cell_angle_beta 90.00
_cell_angle_gamma 90.00
loop_
_atom_site_label
_atom_site_type_symbol
_atom_site_fract_x
_atom_site_fract_y
_atom_site_fract_z
_atom_site_occupancy
Ac1 Ac 0.000 0.000 0.000 1
Eu1 Eu 0.250 0.250 0.250 1
Tl1 Tl 0.000 0.000 0.500 1
```

Properties
ΔE_f = -0.027 eV/atom
magnetization = 62.93 μB per cell
DFT total energy = -0.249 hartree per atom
energy relative to the lowest polymorph listed for this composition = 156 meV/atom

---

A geometry-optimized Ac2PmSi6 structure, computed with PBE.

The structure in CIF format:
```
data_Ac2PmSi6
_chemical_formula_sum 'Ac4 Pm2 Si12'
_space_group_name_H-M_alt 'I m m m'
_space_group_IT_number 71
_space_group_name_Hall '-I 2 2'
_cell_length_a 4.390
_cell_length_b 6.930
_cell_length_c 14.796
_cell_angle_alpha 90.00
_cell_angle_beta 90.00
_cell_angle_gamma 90.00
loop_
_atom_site_label
_atom_site_type_symbol
_atom_site_fract_x
_atom_site_fract_y
_atom_site_fract_z
_atom_site_occupancy
Ac1 Ac 0.000 0.000 0.159 1
Pm1 Pm 0.000 0.500 0.000 1
Si1 Si 0.000 0.168 0.362 1
Si2 Si 0.000 0.330 0.500 1
```

Properties
magnetization = 0.00 μB per cell
DFT total energy = -0.203 hartree per atom
raw formation energy = -471 meV/atom
energy relative to the lowest polymorph listed for this composition = 59 meV/atom

---

A geometry-optimized Ba2HgHIr structure, computed with PBE.

The structure in CIF format:
```
data_Ba2HgHIr
_chemical_formula_sum 'Ba2 Hg1 H1 Ir1'
_space_group_name_H-M_alt 'P 4/m m m'
_space_group_IT_number 123
_space_group_name_Hall '-P 4 2'
_cell_length_a 5.765
_cell_length_b 5.765
_cell_length_c 3.814
_cell_angle_alpha 90.00
_cell_angle_beta 90.00
_cell_angle_gamma 90.00
loop_
_atom_site_label
_atom_site_type_symbol
_atom_site_fract_x
_atom_site_fract_y
_atom_site_fract_z
_atom_site_occupancy
Ba1 Ba 0.000 0.500 0.000 1
Hg1 Hg 0.000 0.000 0.500 1
H1 H 0.500 0.500 0.000 1
Ir1 Ir 0.500 0.500 0.500 1
```

Properties
magnetization = 0.01 μB per cell
DFT total energy = -0.129 hartree per atom

---

A geometry-optimized TaMnAu2 structure, computed with PBE.

The structure in CIF format:
```
data_TaMnAu2
_chemical_formula_sum 'Ta4 Mn4 Au8'
_space_group_name_H-M_alt 'I -4 2 d'
_space_group_IT_number 122
_space_group_name_Hall 'I -4 2bw'
_cell_length_a 3.754
_cell_length_b 3.754
_cell_length_c 19.561
_cell_angle_alpha 90.00
_cell_angle_beta 90.00
_cell_angle_gamma 90.00
loop_
_atom_site_label
_atom_site_type_symbol
_atom_site_fract_x
_atom_site_fract_y
_atom_site_fract_z
_atom_site_occupancy
Ta1 Ta 0.000 0.000 0.000 1
Mn1 Mn 0.000 0.000 0.500 1
Au1 Au 0.243 0.250 0.625 1
```

Properties
ΔE_f = 0.531 eV/atom
magnetization = 0.00 μB per cell
DFT total energy = -0.234 hartree per atom